CrCu2TeO6: relaxed, PBE+U.

Cell lengths 3.8395, 5.8096, 5.8096 Å; angles 90.00, 90.00, 90.00 degrees
With the nearest neighbours (Å) after each atom.
Fractional coordinates of all 10 atoms:
1 Cr 0.7325 0.5000 0.5000  6 O 1.91-2.10
2 Cu 0.7653 0.5000 0.0000  4 O 2.06
3 Cu 0.7653 0.0000 0.5000  4 O 2.06
4 Te 0.7329 0.0000 0.0000  6 O 1.91-2.01
5 O 0.7450 0.2450 0.2450  1 Te 2.01, 2 Cu 2.06, 1 Cr 2.10
6 O 0.7450 0.2450 0.7550  1 Te 2.01, 2 Cu 2.06, 1 Cr 2.10
7 O 0.2353 0.5000 0.5000  2 Cr 1.91-1.93
8 O 0.2353 0.0000 0.0000  2 Te 1.91-1.93
9 O 0.7450 0.7550 0.7550  1 Te 2.01, 2 Cu 2.06, 1 Cr 2.10
10 O 0.7450 0.7550 0.2450  1 Te 2.01, 2 Cu 2.06, 1 Cr 2.10

## Properties
The density of states at the Fermi level is 4.57 states/eV/f.u. As for the space group: P4mm, No. 99. Its total energy is -5.589 eV per atom.